Entry 1:
The following is a DFT calculation (PBE-GGA) of a relaxed structure of CaCd2Pd2.

Properties
- VASP energy: -3.316 eV/atom
- ρ: 7.7 Mg/m³
- Crystal system: tetragonal
- Formation energy: -472 meV/atom

abc: 7.508 7.508 3.640
angles: 90.00 90.00 90.00
Space group P4/mbm (No. 127)
One atom of each set of equivalent atoms:
Ca 0.000 0.000 0.000
Cd 0.154 0.346 0.500
Pd 0.139 0.639 0.000


Entry 2:
The following is a DFT calculation (PBE-GGA) of a relaxed structure of Ca2Y2As.

Properties
- VASP energy: -4.623 eV/atom
- ρ: 3.2 Mg/m³
- Crystal system: tetragonal
- Formation energy: -307 meV/atom

abc: 7.606 7.606 5.897
angles: 90.00 90.00 90.00
Space group P4/mbm (No. 127)
One atom of each set of equivalent atoms:
Ca 0.160 0.340 0.000
Y 0.160 0.660 0.500
As 0.000 0.000 0.500


Entry 3:
The following is a DFT calculation (PBE-GGA) of a relaxed structure of CdCo.

Properties
- VASP energy: -3.646 eV/atom
- ρ: 8.0 Mg/m³
- Crystal system: tetragonal
- Formation energy: 364 meV/atom

abc: 3.262 3.262 6.665
angles: 90.00 90.00 90.00
Space group P4/nmm (No. 129, origin choice 2)
One atom of each set of equivalent atoms:
Cd 0.250 0.250 0.159
Co 0.250 0.750 0.500